No. 1
VASP calculation (PBE) on a geometry-optimized Sr2LiAl structure.

Lattice parameters (Å, degrees): 5.5052 5.5052 7.8774 90.00 90.00 90.00
Last column: nearest neighbours and their distance in Å.
Space group I-4m2 (No. 119)
Unique sites:
Sr  0.0000  0.0000  0.0000 x2  4 Al 3.38, 4 Sr 3.38
Sr  0.0000  0.5000  0.2500 x2  4 Li 3.38, 4 Sr 3.38
Li  0.0000  0.0000  0.5000 x2  4 Al 3.38, 4 Sr 3.38
Al  0.0000  0.5000  0.7500 x2  4 Li 3.38, 4 Sr 3.38

## Properties
ΔE_f ... 0.037 eV/atom
Total energy ... -2.218 eV/atom

---

No. 2
VASP calculation (PBE) on a geometry-optimized SrLi4Al structure.

Lattice parameters (Å, degrees): 15.3198 8.1558 4.7641 90.00 107.91 90.00
Last column: nearest neighbours and their distance in Å.
Space group C2/c (No. 15)
Unique sites:
Sr  0.0000  0.2504  0.2500 x4  12 Li 3.63-3.67, 2 Al 3.64
Li  0.1654  0.0830  0.9159 x8  4 Li 2.46-2.74
Li  0.1658  0.4169  0.9172 x8  4 Li 2.46-2.74
Al  0.2500  0.2500  0.5000 x4  12 Li 2.98-3.01

## Properties
ΔE_f ... -0.043 eV/atom
Offset from the most stable computed form ... 0 meV/atom
Total energy ... -2.223 eV/atom

---

No. 3
VASP calculation (PBE) on a geometry-optimized SrLi8Al4 structure.

Lattice parameters (Å, degrees): 9.6679 9.6679 5.4727 90.00 90.00 90.00
Last column: nearest neighbours and their distance in Å.
Space group I4/mmm (No. 139)
Unique sites:
Sr  0.0000  0.0000  0.0000 x2  12 Li 3.34-3.53, 8 Al 3.68
Li  0.0000  0.2302  0.5000 x8  4 Al 2.78, 4 Li 2.96-3.00
Li  0.0000  0.3458  0.0000 x8  4 Al 2.93, 5 Li 2.96-3.00
Al  0.2500  0.2500  0.2500 x8  2 Al 2.74, 8 Li 2.78-2.93

## Properties
ΔE_f ... -0.126 eV/atom
Total energy ... -2.585 eV/atom

---

No. 4
VASP calculation (PBE) on a geometry-optimized SrLiAl structure.

Lattice parameters (Å, degrees): 7.1028 7.1028 7.1028 90.00 90.00 90.00
Last column: nearest neighbours and their distance in Å.
Space group F-43m (No. 216)
Unique sites:
Sr  0.0000  0.0000  0.0000 x4  4 Li 3.08
Li  0.2500  0.2500  0.7500 x4  4 Al 3.08, 4 Sr 3.08
Al  0.0000  0.0000  0.5000 x4  4 Li 3.08

## Properties
ΔE_f ... 0.183 eV/atom
Offset from the most stable computed form ... 276 meV/atom
Total energy ... -2.263 eV/atom

---

No. 5
VASP calculation (PBE) on a geometry-optimized SrLiAl structure.

Lattice parameters (Å, degrees): 4.4672 4.4672 30.2073 90.00 90.00 120.00
Last column: nearest neighbours and their distance in Å.
Space group R-3m (No. 166, hexagonal axes)
Unique sites:
Sr  0.0000  0.0000  0.2261 x6  3 Li 3.29
Li  0.0000  0.0000  0.0398 x6  1 Li 2.41, 3 Al 2.69
Al  0.0000  0.0000  0.3484 x6  3 Li 2.69, 3 Al 2.74

## Properties
ΔE_f ... -0.091 eV/atom
Offset from the most stable computed form ... 2 meV/atom
Total energy ... -2.537 eV/atom

---

No. 6
VASP calculation (PBE) on a geometry-optimized Sr4Li3Al structure.

Lattice parameters (Å, degrees): 4.4121 5.1968 12.8212 90.00 90.00 90.00
Last column: nearest neighbours and their distance in Å.
Space group Pmm2 (No. 25)
Unique sites:
Sr  0.0000  0.0000  0.0000 x1  2 Al 3.38, 4 Li 3.57
Sr  0.0000  0.5000  0.2733 x1  2 Li 3.30, 4 Al 3.54
Sr  0.5000  0.0000  0.4716 x1  1 Al 3.49, 6 Li 3.63-3.64
Sr  0.5000  0.5000  0.7863 x1  7 Li 3.56-3.79
Li  0.0000  0.0000  0.6979 x1  2 Li 3.09
Li  0.0000  0.5000  0.5679 x1  2 Li 3.09
Li  0.5000  0.5000  0.0816 x1  2 Al 3.01, 2 Sr 3.30
Al  0.5000  0.0000  0.1997 x1  2 Li 3.01

## Properties
ΔE_f ... -0.009 eV/atom
Offset from the most stable computed form ... 13 meV/atom
Total energy ... -2.035 eV/atom